# 1
{"formula": "V6NiPd12", "functional": "PBE", "state": "optimized geometry", "m_tot_mub_per_cell": 5.65, "e_tot_ev_per_atom": -6.607, "e_form_ev_per_atom": -0.1440, "cell": [[4.5944, 2.6526, 3.8726], [-4.5944, 2.6526, 3.8726], [0.0000, -5.3052, 3.8726]], "species": ["V", "V", "V", "V", "V", "V", "Ni", "Pd", "Pd", "Pd", "Pd", "Pd", "Pd", "Pd", "Pd", "Pd", "Pd", "Pd", "Pd"], "frac_coords": [[0.2299, 0.3894, 0.7611], [0.2389, 0.7701, 0.6106], [0.3894, 0.7611, 0.2299], [0.6106, 0.2389, 0.7701], [0.7611, 0.2299, 0.3894], [0.7701, 0.6106, 0.2389], [0.5000, 0.5000, 0.5000], [0.0290, 0.9298, 0.3039], [0.0702, 0.6961, 0.9710], [0.1350, 0.4757, 0.3520], [0.3039, 0.0290, 0.9298], [0.3520, 0.1350, 0.4757], [0.4757, 0.3520, 0.1350], [0.5243, 0.6480, 0.8650], [0.6480, 0.8650, 0.5243], [0.6961, 0.9710, 0.0702], [0.8650, 0.5243, 0.6480], [0.9298, 0.3039, 0.0290], [0.9710, 0.0702, 0.6961]]}

# 2
{"formula": "AlV5Ni8", "functional": "PBE", "state": "optimized geometry", "m_tot_mub_per_cell": 0.00, "e_tot_ev_per_atom": -6.810, "e_form_ev_per_atom": 0.0179, "cell": [[-3.4839, 3.4839, 3.6476], [3.4839, -3.4839, 3.6476], [3.4839, 3.4839, -3.6476]], "species": ["Al", "V", "V", "V", "V", "V", "Ni", "Ni", "Ni", "Ni", "Ni", "Ni", "Ni", "Ni"], "frac_coords": [[0.0000, 0.0000, 0.0000], [0.1953, 0.6116, 0.1483], [0.3884, 0.5366, 0.5836], [0.4634, 0.0470, 0.8517], [0.7500, 0.2500, 0.5000], [0.9530, 0.8047, 0.4164], [0.1081, 0.6641, 0.7612], [0.1968, 0.2867, 0.7686], [0.3359, 0.0971, 0.4441], [0.5181, 0.4281, 0.2314], [0.5719, 0.8032, 0.0899], [0.6530, 0.8919, 0.5559], [0.7133, 0.4819, 0.9101], [0.9029, 0.3470, 0.2388]]}

# 3
{"formula": "PmPr2In3Hg6", "functional": "PBE", "state": "optimized geometry", "m_tot_mub_per_cell": 0.00, "e_tot_ev_per_atom": -2.129, "e_form_ev_per_atom": -0.1008, "cell": [[4.3249, 0.0000, 0.0000], [0.0000, 4.3249, 0.0000], [0.0000, 0.0000, 20.4528]], "species": ["Pm", "Pr", "Pr", "In", "In", "In", "Hg", "Hg", "Hg", "Hg", "Hg", "Hg"], "frac_coords": [[0.0000, 0.0000, 0.0000], [0.0000, 0.0000, 0.2830], [0.0000, 0.0000, 0.7170], [0.5000, 0.5000, 0.2205], [0.5000, 0.5000, 0.5000], [0.5000, 0.5000, 0.7795], [0.0000, 0.5000, 0.1150], [0.0000, 0.5000, 0.8850], [0.5000, 0.0000, 0.1150], [0.5000, 0.0000, 0.8850], [0.5000, 0.5000, 0.3636], [0.5000, 0.5000, 0.6364]]}

# 4
{"formula": "Li2SnGe", "functional": "PBE", "state": "optimized geometry", "m_tot_mub_per_cell": 0.00, "e_tot_ev_per_atom": -3.285, "polymorph_energy_kj_per_mol_atoms": 10.3, "e_form_ev_per_atom": -0.1734, "cell": [[1.5806, 0.9125, 8.9731], [-1.5806, 0.9125, 8.9731], [0.0000, -1.8251, 8.9731]], "species": ["Li", "Li", "Sn", "Ge"], "frac_coords": [[0.0000, 0.0000, 0.0000], [0.1533, 0.1533, 0.1533], [0.5772, 0.5772, 0.5772], [0.7430, 0.7430, 0.7430]]}

Q: What is the formula in the first record?
A: V6NiPd12

Copy entry 2 word for word.
{"formula": "AlV5Ni8", "functional": "PBE", "state": "optimized geometry", "m_tot_mub_per_cell": 0.00, "e_tot_ev_per_atom": -6.810, "e_form_ev_per_atom": 0.0179, "cell": [[-3.4839, 3.4839, 3.6476], [3.4839, -3.4839, 3.6476], [3.4839, 3.4839, -3.6476]], "species": ["Al", "V", "V", "V", "V", "V", "Ni", "Ni", "Ni", "Ni", "Ni", "Ni", "Ni", "Ni"], "frac_coords": [[0.0000, 0.0000, 0.0000], [0.1953, 0.6116, 0.1483], [0.3884, 0.5366, 0.5836], [0.4634, 0.0470, 0.8517], [0.7500, 0.2500, 0.5000], [0.9530, 0.8047, 0.4164], [0.1081, 0.6641, 0.7612], [0.1968, 0.2867, 0.7686], [0.3359, 0.0971, 0.4441], [0.5181, 0.4281, 0.2314], [0.5719, 0.8032, 0.0899], [0.6530, 0.8919, 0.5559], [0.7133, 0.4819, 0.9101], [0.9029, 0.3470, 0.2388]]}

Q: What is the formula in the first record?
A: V6NiPd12

Q: Which formula does entry 1 have?
A: V6NiPd12